Computed, not measured: an optimized crystal structure of LiNdHo at the PBE level of DFT.

Magnetic moment in μB per formula unit: 0.00
Offset from the most stable computed form in meV per atom: 368
Formation enthalpy at 0 K in meV/atom: 451.3
Volume in Å³ per cell: 757.7
DOS(E_F) in states/eV/cell: 31.342

a b c (Å): 6.0488 7.4964 16.7108
angles (deg): 90.00 90.00 90.00
Last column: nearest neighbours and their distance in Å.
Space group Fmmm (No. 69)
Asymmetric unit:
Li  0.0000  0.1611  0.0000  1 Li 2.41
Nd  0.0000  0.0000  0.4013  2 Li 3.03, 1 Nd 3.30
Ho  0.2500  0.2500  0.2500  2 Ho 3.02

---

Computed, not measured: an optimized crystal structure of GePb2Au5 at the PBE level of DFT.

Magnetic moment in μB per formula unit: 0.00
Offset from the most stable computed form in meV per atom: 0
Formation enthalpy at 0 K in meV/atom: -6.5
Volume in Å³ per cell: 182.5
DOS(E_F) in states/eV/cell: 2.247

a b c (Å): 5.8235 5.8553 6.4400
angles (deg): 97.54 111.21 110.93
Last column: nearest neighbours and their distance in Å.
Space group P1 (No. 1)
Asymmetric unit:
Ge  0.0000  0.0000  0.0000  5 Au 2.60-2.71
Pb  0.4545  0.7717  0.1390  7 Au 3.08-3.37, 1 Ge 3.27
Pb  0.5177  0.2649  0.8077  8 Au 3.04-3.27
Au  0.0017  0.3748  0.2681  1 Ge 2.60, 3 Au 2.84-2.89
Au  0.0173  0.7344  0.6328  1 Ge 2.71, 6 Au 2.83-3.00
Au  0.5041  0.3112  0.3140  1 Ge 2.64, 2 Au 2.87-2.92
Au  0.5077  0.7304  0.6472  1 Ge 2.64, 2 Au 2.83-2.84
Au  0.9361  0.2129  0.6526  1 Ge 2.68, 3 Au 2.87-2.97

---

Computed, not measured: an optimized crystal structure of CaPrTmAl at the PBE level of DFT.

Magnetic moment in μB per formula unit: 0.00
Formation enthalpy at 0 K in meV/atom: -49.8
Volume in Å³ per cell: 456.3
DOS(E_F) in states/eV/cell: 11.168

a b c (Å): 7.6984 7.6984 7.6984
angles (deg): 90.00 90.00 90.00
Last column: nearest neighbours and their distance in Å.
Space group F-43m (No. 216)
Asymmetric unit:
Ca  0.0000  0.0000  0.0000  4 Tm 3.33, 4 Pr 3.33
Pr  0.2500  0.2500  0.7500  4 Ca 3.33, 4 Al 3.33
Tm  0.2500  0.2500  0.2500  4 Ca 3.33, 4 Al 3.33
Al  0.0000  0.0000  0.5000  4 Pr 3.33, 4 Tm 3.33